1.
Computed, not measured: a relaxed Ag2Hg3P4Br3 crystal at the PBE level of DFT.

Cell lengths 8.2980, 8.2980, 8.9677 Å; angles 100.63, 100.63, 82.82 degrees
Sites, in units of the cell vectors:
1 Ag 0.1475 0.1475 0.3041
2 Ag 0.5035 0.0035 0.5099
3 Ag 0.8525 0.8525 0.6959
4 Ag 0.9965 0.4965 0.4901
5 Hg 0.2481 0.2513 0.8915
6 Hg 0.2675 0.6389 0.2308
7 Hg 0.3611 0.7325 0.7692
8 Hg 0.6329 0.2697 0.2321
9 Hg 0.7303 0.3671 0.7679
10 Hg 0.7487 0.7519 0.1085
11 P 0.0598 0.0629 0.7165
12 P 0.0802 0.7535 0.4191
13 P 0.2465 0.9198 0.5809
14 P 0.4363 0.4392 0.0671
15 P 0.5608 0.5637 0.9329
16 P 0.7505 0.0828 0.4197
17 P 0.9172 0.2495 0.5803
18 P 0.9371 0.9402 0.2835
19 Br 0.0429 0.6336 0.8648
20 Br 0.3495 0.3510 0.5238
21 Br 0.3664 0.9571 0.1352
22 Br 0.6307 0.0459 0.8627
23 Br 0.6490 0.6505 0.4762
24 Br 0.9541 0.3693 0.1373

Output
Uncorrected formation energy in meV per atom: -201
Total DFT energy (no corrections) in eV per atom: -2.97
Space-group type: C2, No. 5
Total magnetization in μB/cell: 0.000

=====

2.
Computed, not measured: a relaxed Pm2MgSn2Rh5 crystal at the PBE level of DFT.

Cell lengths 10.3111, 10.3111, 3.6966 Å; angles 90.00, 90.00, 90.00 degrees
Sites, in units of the cell vectors:
1 Pm 0.1703 0.3297 0.0000
2 Pm 0.3297 0.8297 0.0000
3 Pm 0.6703 0.1703 0.0000
4 Pm 0.8297 0.6703 0.0000
5 Mg 0.0000 0.0000 0.0000
6 Mg 0.5000 0.5000 0.0000
7 Sn 0.1289 0.6289 0.0000
8 Sn 0.3711 0.1289 0.0000
9 Sn 0.6289 0.8711 0.0000
10 Sn 0.8711 0.3711 0.0000
11 Rh 0.0000 0.5000 0.5000
12 Rh 0.0579 0.7984 0.5000
13 Rh 0.2016 0.0579 0.5000
14 Rh 0.2984 0.5579 0.5000
15 Rh 0.4421 0.2984 0.5000
16 Rh 0.5000 0.0000 0.5000
17 Rh 0.5579 0.7016 0.5000
18 Rh 0.7016 0.4421 0.5000
19 Rh 0.7984 0.9421 0.5000
20 Rh 0.9421 0.2016 0.5000

Output
Energy of formation in eV/atom: -0.5188
Total DFT energy (no corrections) in eV per atom: -6.10
Space-group type: P4/mbm, No. 127
Total magnetization in μB/cell: 0.000
DOS(E_F) in states/eV/atom: 0.41

=====

3.
Computed, not measured: a relaxed Pm2FeAs4Ir3 crystal at the PBE level of DFT.

Cell lengths 4.2592, 4.2592, 10.0197 Å; angles 90.00, 90.00, 90.00 degrees
Sites, in units of the cell vectors:
1 Pm 0.0000 0.5000 0.2498
2 Pm 0.5000 0.0000 0.7502
3 Fe 0.0000 0.0000 0.5000
4 As 0.0000 0.0000 0.0000
5 As 0.0000 0.5000 0.6290
6 As 0.5000 0.0000 0.3710
7 As 0.5000 0.5000 0.0000
8 Ir 0.0000 0.5000 0.8741
9 Ir 0.5000 0.0000 0.1259
10 Ir 0.5000 0.5000 0.5000

Output
Energy of formation in eV/atom: -0.6933
Total DFT energy (no corrections) in eV per atom: -7.01
Space-group type: P-4m2, No. 115
Total magnetization in μB/cell: 0.006
DOS(E_F) in states/eV/atom: 0.46

=====

4.
Computed, not measured: a relaxed LaReAu2 crystal at the PBE level of DFT.

Cell lengths 3.6160, 3.6160, 6.5468 Å; angles 90.00, 90.00, 90.00 degrees
Sites, in units of the cell vectors:
1 La 0.0000 0.0000 0.0000
2 Re 0.5000 0.5000 0.3053
3 Au 0.0000 0.0000 0.4688
4 Au 0.5000 0.5000 0.7231

Output
Excess energy over the best structure of this formula in the dataset in meV per atom: 85
Energy of formation in eV/atom: 0.2460
Total DFT energy (no corrections) in eV per atom: -5.74
Space-group type: P4mm, No. 99
Total magnetization in μB/cell: 0.000
DOS(E_F) in states/eV/atom: 0.84

=====

5.
Computed, not measured: a relaxed Pa2CoTc crystal at the PBE level of DFT.

Cell lengths 5.8784, 3.7865, 7.4484 Å; angles 90.00, 107.86, 90.00 degrees
Sites, in units of the cell vectors:
1 Pa 0.2263 0.2500 0.4270
2 Pa 0.2264 0.2500 0.9345
3 Pa 0.7736 0.7500 0.0655
4 Pa 0.7737 0.7500 0.5730
5 Co 0.2945 0.7500 0.1956
6 Co 0.7055 0.2500 0.8044
7 Tc 0.3105 0.7500 0.7034
8 Tc 0.6895 0.2500 0.2966

Output
Excess energy over the best structure of this formula in the dataset in meV per atom: 0
Energy of formation in eV/atom: -0.3473
Total DFT energy (no corrections) in eV per atom: -9.46
Space-group type: P2_1/m, No. 11
Total magnetization in μB/cell: 0.000
DOS(E_F) in states/eV/atom: 0.88

=====

6.
Computed, not measured: a relaxed PrNdHo2 crystal at the PBE level of DFT.

Cell lengths 10.0570, 10.2734, 5.1455 Å; angles 90.00, 90.00, 90.00 degrees
Sites, in units of the cell vectors:
1 Pr 0.0000 0.1256 0.2500
2 Pr 0.0000 0.8744 0.7500
3 Pr 0.5000 0.3744 0.7500
4 Pr 0.5000 0.6256 0.2500
5 Nd 0.0000 0.3756 0.7500
6 Nd 0.0000 0.6244 0.2500
7 Nd 0.5000 0.1244 0.2500
8 Nd 0.5000 0.8756 0.7500
9 Ho 0.2503 0.1250 0.7500
10 Ho 0.2497 0.3750 0.2500
11 Ho 0.2497 0.6250 0.7500
12 Ho 0.2503 0.8750 0.2500
13 Ho 0.7497 0.1250 0.7500
14 Ho 0.7503 0.3750 0.2500
15 Ho 0.7503 0.6250 0.7500
16 Ho 0.7497 0.8750 0.2500

Output
Excess energy over the best structure of this formula in the dataset in meV per atom: 5
Energy of formation in eV/atom: 0.0182
Total DFT energy (no corrections) in eV per atom: -4.66
Space-group type: Cmcm, No. 63
Total magnetization in μB/cell: 0.000
DOS(E_F) in states/eV/atom: 1.42

=====

7.
Computed, not measured: a relaxed Ca2MnCo crystal at the PBE level of DFT.

Cell lengths 3.4255, 3.4255, 28.2399 Å; angles 90.00, 90.00, 120.00 degrees
Sites, in units of the cell vectors:
1 Ca 0.0000 0.0000 0.2378
2 Ca 0.0000 0.0000 0.7622
3 Ca 0.3333 0.6667 0.4289
4 Ca 0.3333 0.6667 0.9044
5 Ca 0.6667 0.3333 0.0956
6 Ca 0.6667 0.3333 0.5711
7 Mn 0.0000 0.0000 0.0000
8 Mn 0.3333 0.6667 0.6667
9 Mn 0.6667 0.3333 0.3333
10 Co 0.0000 0.0000 0.5000
11 Co 0.3333 0.6667 0.1667
12 Co 0.6667 0.3333 0.8333

Output
Excess energy over the best structure of this formula in the dataset in meV per atom: 442
Energy of formation in eV/atom: 0.6989
Total DFT energy (no corrections) in eV per atom: -4.37
Space-group type: R-3m, No. 166
Total magnetization in μB/cell: 10.001
DOS(E_F) in states/eV/atom: 0.97

=====

8.
Computed, not measured: a relaxed TlFe2MoS crystal at the PBE level of DFT.

Cell lengths 4.0249, 4.0249, 5.3431 Å; angles 90.00, 90.00, 90.00 degrees
Sites, in units of the cell vectors:
1 Tl 0.0000 0.0000 0.0000
2 Fe 0.0000 0.5000 0.5000
3 Fe 0.5000 0.0000 0.5000
4 Mo 0.5000 0.5000 0.0000
5 S 0.0000 0.0000 0.5000

Output
Uncorrected formation energy in meV per atom: 1057
Total DFT energy (no corrections) in eV per atom: -5.79
Space-group type: P4/mmm, No. 123
Total magnetization in μB/cell: 0.000
DOS(E_F) in states/eV/atom: 2.15

=====

9.
Computed, not measured: a relaxed La7Dy2Er3 crystal at the PBE level of DFT.

Cell lengths 6.5227, 3.5738, 17.7428 Å; angles 90.00, 95.58, 90.00 degrees
Sites, in units of the cell vectors:
1 La 0.0000 0.0000 0.0000
2 La 0.2274 0.5000 0.1732
3 La 0.2621 0.5000 0.4907
4 La 0.2777 0.0000 0.8327
5 La 0.7223 0.0000 0.1673
6 La 0.7379 0.5000 0.5093
7 La 0.7726 0.5000 0.8268
8 Dy 0.0582 0.5000 0.6699
9 Dy 0.9418 0.5000 0.3301
10 Er 0.4585 0.0000 0.3381
11 Er 0.5000 0.5000 0.0000
12 Er 0.5415 0.0000 0.6619

Output
Energy of formation in eV/atom: 0.0662
Total DFT energy (no corrections) in eV per atom: -4.72
Space-group type: P2/m, No. 10
Total magnetization in μB/cell: 0.000
DOS(E_F) in states/eV/atom: 1.37

=====

10.
Computed, not measured: a relaxed Cs3Y2PuTe6 crystal at the PBE level of DFT.

Cell lengths 7.9613, 7.9613, 9.2851 Å; angles 98.23, 98.23, 119.99 degrees
Sites, in units of the cell vectors:
1 Cs 0.0000 0.0000 0.0000
2 Cs 0.3339 0.6661 0.0000
3 Cs 0.6661 0.3339 0.0000
4 Y 0.1667 0.8333 0.5000
5 Y 0.8333 0.1667 0.5000
6 Pu 0.5000 0.5000 0.5000
7 Te 0.0994 0.4368 0.3104
8 Te 0.2257 0.2257 0.6895
9 Te 0.4368 0.0994 0.3104
10 Te 0.5632 0.9006 0.6896
11 Te 0.7743 0.7743 0.3105
12 Te 0.9006 0.5632 0.6896

Output
Uncorrected formation energy in meV per atom: -1293
Total DFT energy (no corrections) in eV per atom: -5.35
Space-group type: C2/m, No. 12
Total magnetization in μB/cell: 5.000
DOS(E_F) in states/eV/atom: 1.18

=====

11.
Computed, not measured: a relaxed CsLiPbCl6 crystal at the PBE level of DFT.

Cell lengths 6.7627, 6.7627, 7.8385 Å; angles 90.00, 90.00, 120.00 degrees
Sites, in units of the cell vectors:
1 Cs 0.0000 0.0000 0.0000
2 Li 0.3333 0.6667 0.5000
3 Pb 0.6667 0.3333 0.5000
4 Cl 0.3771 0.0028 0.6897
5 Cl 0.3771 0.3744 0.3103
6 Cl 0.6256 0.0028 0.3103
7 Cl 0.6256 0.6229 0.6897
8 Cl 0.9972 0.3744 0.6897
9 Cl 0.9972 0.6229 0.3103

Output
Uncorrected formation energy in meV per atom: -1237
Total DFT energy (no corrections) in eV per atom: -3.19
Space-group type: P312, No. 149
Total magnetization in μB/cell: 0.000
DOS(E_F) in states/eV/atom: 0.00

=====

12.
Computed, not measured: a relaxed TmNpGa4 crystal at the PBE level of DFT.

Cell lengths 5.4971, 5.4971, 5.4971 Å; angles 60.00, 60.00, 60.00 degrees
Sites, in units of the cell vectors:
1 Tm 0.0000 0.0000 0.0000
2 Np 0.7500 0.7500 0.7500
3 Ga 0.3752 0.3752 0.3752
4 Ga 0.3752 0.3752 0.8743
5 Ga 0.3752 0.8743 0.3752
6 Ga 0.8743 0.3752 0.3752

Output
Energy of formation in eV/atom: -0.2647
Total DFT energy (no corrections) in eV per atom: -5.18
Space-group type: F-43m, No. 216
Total magnetization in μB/cell: 4.765
DOS(E_F) in states/eV/atom: 2.12

=====

13.
Computed, not measured: a relaxed BiBPd2 crystal at the PBE level of DFT.

Cell lengths 3.3489, 3.3489, 21.2066 Å; angles 90.00, 90.00, 120.00 degrees
Sites, in units of the cell vectors:
1 Bi 0.0000 0.0000 0.0000
2 Bi 0.3333 0.6667 0.6667
3 Bi 0.6667 0.3333 0.3333
4 B 0.0000 0.0000 0.5000
5 B 0.3333 0.6667 0.1667
6 B 0.6667 0.3333 0.8333
7 Pd 0.0000 0.0000 0.2150
8 Pd 0.0000 0.0000 0.7850
9 Pd 0.3333 0.6667 0.4517
10 Pd 0.3333 0.6667 0.8816
11 Pd 0.6667 0.3333 0.1184
12 Pd 0.6667 0.3333 0.5483

Output
Excess energy over the best structure of this formula in the dataset in meV per atom: 0
Energy of formation in eV/atom: -0.1136
Total DFT energy (no corrections) in eV per atom: -5.35
Space-group type: R-3m, No. 166
Total magnetization in μB/cell: 0.000
DOS(E_F) in states/eV/atom: 0.36

=====

14.
Computed, not measured: a relaxed Tm7Te2Os2 crystal at the PBE level of DFT.

Cell lengths 9.2483, 9.2483, 9.2483 Å; angles 155.28, 65.59, 120.32 degrees
Sites, in units of the cell vectors:
1 Tm 0.0000 0.0000 0.0000
2 Tm 0.2844 0.4193 0.8651
3 Tm 0.3183 0.6326 0.6858
4 Tm 0.5542 0.4193 0.1349
5 Tm 0.6143 0.2643 0.3500
6 Tm 0.9143 0.2643 0.6500
7 Tm 0.9468 0.6326 0.3142
8 Te 0.2668 0.7668 0.5000
9 Te 0.6648 0.6648 0.0000
10 Os 0.1713 0.9350 0.2364
11 Os 0.6986 0.9350 0.7636

Output
Excess energy over the best structure of this formula in the dataset in meV per atom: 0
Uncorrected formation energy in meV per atom: -681
Total DFT energy (no corrections) in eV per atom: -6.14
Space-group type: Imm2, No. 44
Total magnetization in μB/cell: 0.380
DOS(E_F) in states/eV/atom: 0.73

=====

15.
Computed, not measured: a relaxed Y2ScAg2 crystal at the PBE level of DFT.

Cell lengths 4.0164, 6.7011, 9.4288 Å; angles 90.00, 90.00, 90.00 degrees
Sites, in units of the cell vectors:
1 Y 0.0000 0.0000 0.2094
2 Y 0.0000 0.0000 0.7906
3 Y 0.5000 0.5000 0.2906
4 Y 0.5000 0.5000 0.7094
5 Sc 0.0000 0.5000 0.0000
6 Sc 0.5000 0.0000 0.5000
7 Ag 0.0000 0.2887 0.5000
8 Ag 0.0000 0.7113 0.5000
9 Ag 0.5000 0.2113 0.0000
10 Ag 0.5000 0.7887 0.0000

Output
Excess energy over the best structure of this formula in the dataset in meV per atom: 40
Energy of formation in eV/atom: -0.1543
Total DFT energy (no corrections) in eV per atom: -5.15
Space-group type: Immm, No. 71
Total magnetization in μB/cell: 0.004
DOS(E_F) in states/eV/atom: 1.51

=====

16.
Computed, not measured: a relaxed Hf3AlH2 crystal at the PBE level of DFT.

Cell lengths 10.8182, 10.8182, 5.6021 Å; angles 104.13, 104.13, 16.60 degrees
Sites, in units of the cell vectors:
1 Hf 0.0311 0.0311 0.2730
2 Hf 0.2381 0.2381 0.7473
3 Hf 0.3969 0.3969 0.1330
4 Hf 0.6031 0.6031 0.8670
5 Hf 0.7619 0.7619 0.2527
6 Hf 0.9689 0.9689 0.7270
7 Al 0.3539 0.3539 0.6020
8 Al 0.6461 0.6461 0.3980
9 H 0.0563 0.0563 0.6540
10 H 0.2957 0.2957 0.0907
11 H 0.7043 0.7043 0.9093
12 H 0.9437 0.9437 0.3460

Output
Total DFT energy (no corrections) in eV per atom: -6.91
Space-group type: C2/m, No. 12
Total magnetization in μB/cell: 0.000
DOS(E_F) in states/eV/atom: 0.69

=====

17.
Computed, not measured: a relaxed Ba2InCo crystal at the PBE level of DFT.

Cell lengths 3.7557, 3.7557, 9.6309 Å; angles 90.00, 90.00, 90.00 degrees
Sites, in units of the cell vectors:
1 Ba 0.0000 0.0000 0.0000
2 Ba 0.5000 0.5000 0.4140
3 In 0.5000 0.5000 0.7544
4 Co 0.0000 0.0000 0.6570

Output
Energy of formation in eV/atom: 0.1886
Total DFT energy (no corrections) in eV per atom: -3.23
Space-group type: P4mm, No. 99
Total magnetization in μB/cell: 0.917
DOS(E_F) in states/eV/atom: 0.99

=====

18.
Computed, not measured: a relaxed As2PdRh crystal at the PBE level of DFT.

Cell lengths 5.9165, 5.9165, 9.6942 Å; angles 90.00, 90.00, 90.00 degrees
Sites, in units of the cell vectors:
1 As 0.2389 0.2500 0.1250
2 As 0.2500 0.7389 0.3750
3 As 0.2500 0.7611 0.8750
4 As 0.2611 0.2500 0.6250
5 As 0.7389 0.7500 0.6250
6 As 0.7500 0.2389 0.8750
7 As 0.7500 0.2611 0.3750
8 As 0.7611 0.7500 0.1250
9 Pd 0.0000 0.0000 0.5000
10 Pd 0.0000 0.5000 0.7500
11 Pd 0.5000 0.0000 0.2500
12 Pd 0.5000 0.5000 0.0000
13 Rh 0.0000 0.0000 0.0000
14 Rh 0.0000 0.5000 0.2500
15 Rh 0.5000 0.0000 0.7500
16 Rh 0.5000 0.5000 0.5000

Output
Excess energy over the best structure of this formula in the dataset in meV per atom: 26
Energy of formation in eV/atom: -0.1283
Total DFT energy (no corrections) in eV per atom: -5.59
Space-group type: I-42d, No. 122
Total magnetization in μB/cell: 0.000
DOS(E_F) in states/eV/atom: 0.48

=====

19.
Computed, not measured: a relaxed NpIn2AgO8 crystal at the PBE level of DFT.

Cell lengths 4.9770, 5.0028, 6.7853 Å; angles 85.79, 85.66, 86.13 degrees
Sites, in units of the cell vectors:
1 Np 0.0000 0.0000 0.0000
2 In 0.4719 0.4721 0.2603
3 In 0.5281 0.5279 0.7397
4 Ag 0.0000 0.0000 0.5000
5 O 0.1764 0.1675 0.2437
6 O 0.2149 0.2035 0.8149
7 O 0.2965 0.6909 0.5017
8 O 0.2972 0.6932 0.0005
9 O 0.7028 0.3068 0.9995
10 O 0.7035 0.3091 0.4983
11 O 0.7851 0.7965 0.1851
12 O 0.8236 0.8325 0.7563

Output
Uncorrected formation energy in meV per atom: -1524
Total DFT energy (no corrections) in eV per atom: -6.60
Space-group type: P-1, No. 2
Total magnetization in μB/cell: 0.000
DOS(E_F) in states/eV/atom: 0.07

=====

20.
Computed, not measured: a relaxed Ba3AlRe crystal at the PBE level of DFT.

Cell lengths 5.9315, 5.9315, 5.9315 Å; angles 90.00, 90.00, 90.00 degrees
Sites, in units of the cell vectors:
1 Ba 0.0000 0.0000 0.5000
2 Ba 0.0000 0.5000 0.0000
3 Ba 0.5000 0.0000 0.0000
4 Al 0.5000 0.5000 0.5000
5 Re 0.0000 0.0000 0.0000

Output
Excess energy over the best structure of this formula in the dataset in meV per atom: 0
Energy of formation in eV/atom: 0.7943
Total DFT energy (no corrections) in eV per atom: -3.60
Space-group type: Pm-3m, No. 221
Total magnetization in μB/cell: 0.001
DOS(E_F) in states/eV/atom: 1.25